(1)
Density functional theory data (PBE+U) for NaNi2Mo2H3O10 after structural relaxation.

**Crystal system**: monoclinic

abc: 5.6775 5.6776 7.6817
angles: 68.62 68.62 68.24
Closest atoms and distances in Å follow each position.
Sites, in units of the cell vectors:
Na (0.5019, 0.4981, 0.5000)  6 O 2.45-2.54
Ni (0.0021, 0.4979, 0.9999)  6 O 2.08-2.11
Ni (0.5020, 0.9979, 0.0001)  6 O 2.08-2.11
Mo (0.0810, 0.0773, 0.7163)  4 O 1.76-1.85
Mo (0.9227, 0.9190, 0.2837)  4 O 1.76-1.85
H (0.5019, 0.4981, 0.0000)  2 O 1.23
H (0.6831, 0.6795, 0.7791)  1 O 0.99
H (0.3205, 0.3169, 0.2209)  1 O 0.99
O (0.3564, 0.3525, 0.0788)  1 H 0.99
O (0.6475, 0.6436, 0.9212)  1 H 0.99
O (0.8325, 0.8284, 0.1125)  1 Mo 1.85
O (0.1716, 0.1676, 0.8875)  1 Mo 1.85
O (0.7648, 0.7616, 0.5187)  1 Mo 1.76, 1 H 1.80
O (0.2384, 0.2352, 0.4813)  1 Mo 1.76, 1 H 1.80
O (0.8147, 0.2680, 0.2565)  1 Mo 1.80
O (0.2717, 0.8109, 0.2566)  1 Mo 1.80
O (0.1891, 0.7283, 0.7434)  1 Mo 1.80
O (0.7320, 0.1853, 0.7435)  1 Mo 1.80

(2)
Density functional theory data (PBE+U) for NaMoH2O4 after structural relaxation.

**Crystal system**: orthorhombic

abc: 4.5043 4.9372 4.9372
angles: 75.30 62.86 62.86
Closest atoms and distances in Å follow each position.
Sites, in units of the cell vectors:
Na (0.0000, 0.0000, 0.0000)  8 O 2.50-2.73
Mo (0.5000, 0.5000, 0.5000)  4 O 1.88
H (0.1863, 0.3137, 0.3137)  2 O 1.24
H (0.8137, 0.6863, 0.6863)  2 O 1.24
O (0.4017, 0.1919, 0.4418)  1 H 1.24
O (0.0354, 0.8081, 0.5582)  1 H 1.24
O (0.9646, 0.4418, 0.1919)  1 H 1.24
O (0.5983, 0.5582, 0.8081)  1 H 1.24

(3)
Density functional theory data (PBE+U) for NaZnMoHO5 after structural relaxation.

**Crystal system**: orthorhombic

abc: 6.2533 7.9368 9.4092
angles: 90.00 90.00 90.00
Closest atoms and distances in Å follow each position.
Sites, in units of the cell vectors:
Na (0.7500, 0.3562, 0.6922)  3 O 2.31-2.58
Na (0.2500, 0.6438, 0.3078)  3 O 2.31-2.58
Na (0.7500, 0.8562, 0.8078)  3 O 2.31-2.58
Na (0.2500, 0.1438, 0.1922)  3 O 2.31-2.58
Zn (0.5000, 0.5000, 0.0000)  2 O 1.97
Zn (0.0000, 0.5000, 0.0000)  2 O 1.97
Zn (0.0000, 0.0000, 0.5000)  2 O 1.97
Zn (0.5000, 0.0000, 0.5000)  2 O 1.97
Mo (0.2500, 0.1193, 0.8330)  4 O 1.78-1.83
Mo (0.7500, 0.8807, 0.1670)  4 O 1.78-1.83
Mo (0.2500, 0.6193, 0.6670)  4 O 1.78-1.83
Mo (0.7500, 0.3807, 0.3330)  4 O 1.78-1.83
H (0.7500, 0.7551, 0.5187)  1 O 0.99
H (0.2500, 0.2449, 0.4813)  1 O 0.99
H (0.7500, 0.2551, 0.9813)  1 O 0.99
H (0.2500, 0.7449, 0.0187)  1 O 0.99
O (0.0147, 0.1092, 0.7232)  1 Mo 1.80
O (0.5147, 0.8908, 0.2768)  1 Mo 1.80
O (0.4853, 0.6092, 0.7768)  1 Mo 1.80
O (0.9853, 0.3908, 0.2232)  1 Mo 1.80
O (0.9853, 0.8908, 0.2768)  1 Mo 1.80
O (0.4853, 0.1092, 0.7232)  1 Mo 1.80
O (0.5147, 0.3908, 0.2232)  1 Mo 1.80
O (0.0147, 0.6092, 0.7768)  1 Mo 1.80
O (0.2500, 0.4471, 0.5463)  1 H 1.72, 1 Mo 1.78
O (0.7500, 0.5529, 0.4537)  1 H 1.72, 1 Mo 1.78
O (0.2500, 0.9471, 0.9537)  1 H 1.72, 1 Mo 1.78
O (0.7500, 0.0529, 0.0463)  1 H 1.72, 1 Mo 1.78
O (0.7500, 0.8689, 0.5621)  1 H 0.99
O (0.2500, 0.1311, 0.4379)  1 H 0.99
O (0.7500, 0.3689, 0.9379)  1 H 0.99
O (0.2500, 0.6311, 0.0621)  1 H 0.99
O (0.2500, 0.3102, 0.9421)  1 Mo 1.83
O (0.7500, 0.6898, 0.0579)  1 Mo 1.83
O (0.2500, 0.8102, 0.5579)  1 Mo 1.83
O (0.7500, 0.1898, 0.4421)  1 Mo 1.83

Record-wise Fermi-level density of states values, in states/eV/atom: 0.00, 0.00, 0.00
Record-wise final energy values, in eV/atom: -5.894, -5.622, -5.773